# K2BeSb | the Alexandria database | PBE-GGA | optimized geometry
# Polymorph energy (0 for the lowest one) ... 371 meV per atom
# VASP energy ... -17.245 eV/cell
# Calculated volume ... 119.9 Å³/f.u.
data_K2BeSb
_chemical_formula_sum 'K4 Be2 Sb2'
_symmetry_space_group_name_H-M 'I -4 m 2'
_symmetry_Int_Tables_number 119
_symmetry_space_group_name_Hall 'I -4 -2'
_cell_length_a 5.381
_cell_length_b 5.381
_cell_length_c 8.284
_cell_angle_alpha 90.00
_cell_angle_beta 90.00
_cell_angle_gamma 90.00
loop_
_atom_site_label
_atom_site_fract_x
_atom_site_fract_y
_atom_site_fract_z
K1 0.000 0.000 0.000
K2 0.000 0.500 0.250
Be1 0.000 0.000 0.500
Sb1 0.000 0.500 0.750